Record 1
Bi2RuPbO8 | Alexandria via LeMat-Bulk | PBE | relaxed; SG = P2/m; uncorrected formation energy = -11.545 eV/f.u.
1.0
5.1487 0.0000 0.0000
0.0000 6.7601 0.0000
-0.0738 0.0000 5.1740
Bi Ru Pb O
2 1 1 8
Direct
0.0000 0.2468 0.0000
0.0000 0.7532 0.0000
0.5000 0.0000 0.5000
0.5000 0.5000 0.5000
0.1707 0.5000 0.7978
0.2216 0.0000 0.7144
0.3416 0.2258 0.3001
0.3416 0.7742 0.3001
0.6584 0.2258 0.6999
0.6584 0.7742 0.6999
0.7784 0.0000 0.2856
0.8293 0.5000 0.2022


Record 2
LiBH2Au | Alexandria via LeMat-Bulk | PBE | relaxed; SG = P4/mmm; ΔE to the lowest computed polymorph = 91 meV/atom
1.0
3.8338 0.0000 0.0000
0.0000 3.8338 0.0000
0.0000 0.0000 4.0577
Li B H Au
1 1 2 1
Direct
0.0000 0.0000 0.0000
0.5000 0.5000 0.0000
0.0000 0.5000 0.5000
0.5000 0.0000 0.5000
0.5000 0.5000 0.5000


Record 3
TiNiRhAu | Alexandria via LeMat-Bulk | PBE | relaxed; SG = Pmmm; energy of formation = -0.485 eV per atom
1.0
3.7146 0.0000 0.0000
0.0000 3.7795 0.0000
0.0000 0.0000 4.1099
Ti Ni Rh Au
1 1 1 1
Direct
0.0000 0.0000 0.0000
0.5000 0.0000 0.5000
0.5000 0.5000 0.0000
0.0000 0.5000 0.5000